# PBE Tc3H12Pt5, relaxed
# Volume: 8.411 Å³/atom
# M_tot: 17.49 μB per cell
# Space-group type: Ia-3d (230)
# Electronic total energy: -382.48 eV per cell
data_Tc3H12Pt5
_chemical_formula_sum 'Tc12 H48 Pt20'
_symmetry_space_group_name_H-M 'P 1'
_symmetry_Int_Tables_number 1
_cell_length_a 9.5613
_cell_length_b 9.5613
_cell_length_c 9.5613
_cell_angle_alpha 109.47
_cell_angle_beta 109.47
_cell_angle_gamma 109.47
loop_
_symmetry_equiv_pos_as_xyz
'x,y,z'
loop_
_atom_site_label
_atom_site_type_symbol
_atom_site_fract_x
_atom_site_fract_y
_atom_site_fract_z
H1 H 0.3314 0.5592 0.4139
H2 H 0.4175 0.1453 0.5861
H3 H 0.8547 0.5825 0.9139
H4 H 0.8314 0.9175 0.2722
H5 H 0.5825 0.7278 0.6686
H6 H 0.9408 0.5861 0.1686
Tc1 Tc 0.6250 0.2500 0.3750
H7 H 0.6686 0.4408 0.5861
H8 H 0.9175 0.0861 0.6453
H9 H 0.2722 0.8547 0.9408
H10 H 0.8314 0.9139 0.0592
Pt1 Pt 0.0000 0.5000 0.5000
Pt2 Pt 0.5000 0.5000 0.5000
Pt3 Pt 0.5000 0.5000 0.0000
Tc2 Tc 0.2500 0.1250 0.3750
H11 H 0.6686 0.2278 0.5825
H12 H 0.4408 0.7722 0.8547
H13 H 0.9408 0.3547 0.2722
Pt4 Pt 0.5000 0.0000 0.5000
H14 H 0.5861 0.9408 0.6686
Pt5 Pt 0.0000 0.0000 0.5000
Pt6 Pt 0.6250 0.7500 0.8750
Pt7 Pt 0.3750 0.2500 0.1250
H15 H 0.3547 0.9408 0.7722
H16 H 0.3547 0.4139 0.0825
H17 H 0.9175 0.8314 0.7722
H18 H 0.8547 0.2722 0.4408
Tc3 Tc 0.3750 0.6250 0.2500
H19 H 0.0592 0.6453 0.7278
Tc4 Tc 0.8750 0.7500 0.1250
H20 H 0.5592 0.3314 0.9139
H21 H 0.0825 0.9139 0.3547
H22 H 0.4139 0.0592 0.3314
Tc5 Tc 0.8750 0.1250 0.2500
H23 H 0.9139 0.0825 0.8547
H24 H 0.2278 0.5592 0.6453
H25 H 0.1686 0.0825 0.7278
H26 H 0.4175 0.2722 0.3314
H27 H 0.0592 0.4139 0.8314
Tc6 Tc 0.6250 0.3750 0.7500
H28 H 0.5592 0.2278 0.1453
H29 H 0.1453 0.4175 0.0861
H30 H 0.9139 0.8314 0.5592
H31 H 0.5825 0.8547 0.4139
Pt8 Pt 0.0000 0.5000 0.0000
Tc7 Tc 0.1250 0.2500 0.8750
Tc8 Tc 0.1250 0.8750 0.7500
H32 H 0.6453 0.0592 0.2278
H33 H 0.4139 0.3547 0.5825
H34 H 0.3314 0.7722 0.4175
H35 H 0.5861 0.6453 0.4175
Pt9 Pt 0.3750 0.1250 0.7500
Tc9 Tc 0.3750 0.7500 0.6250
H36 H 0.7278 0.5825 0.1686
H37 H 0.7722 0.3314 0.9175
Pt10 Pt 0.1250 0.7500 0.3750
Pt11 Pt 0.8750 0.2500 0.6250
Tc10 Tc 0.2500 0.6250 0.8750
H38 H 0.1686 0.0861 0.9408
Pt12 Pt 0.0000 0.0000 0.0000
Pt13 Pt 0.8750 0.6250 0.7500
H39 H 0.0825 0.1686 0.2278
H40 H 0.6453 0.5861 0.9175
Pt14 Pt 0.2500 0.8750 0.1250
Tc11 Tc 0.7500 0.8750 0.6250
H41 H 0.4408 0.6686 0.0861
Pt15 Pt 0.6250 0.8750 0.2500
Pt16 Pt 0.5000 0.0000 0.0000
H42 H 0.0861 0.9175 0.1453
Pt17 Pt 0.2500 0.3750 0.6250
H43 H 0.2722 0.4175 0.8314
Pt18 Pt 0.7500 0.1250 0.8750
Tc12 Tc 0.7500 0.3750 0.1250
H44 H 0.2278 0.6686 0.0825
Pt19 Pt 0.1250 0.3750 0.2500
H45 H 0.0861 0.1686 0.4408
Pt20 Pt 0.7500 0.6250 0.3750
H46 H 0.7278 0.1453 0.0592
H47 H 0.7722 0.4408 0.3547
H48 H 0.1453 0.7278 0.5592